Entry 1:
## Y4Ho7Tl (PBE-GGA)

Data for a relaxed Y4Ho7Tl crystal.

SG = P-3m1
Crystal system = trigonal
Calculated formation energy = -1.87 kJ/mol of atoms
Total moment = 0.000 μB per formula unit

Lattice parameters (Å, degrees): 3.550 3.550 34.096 90.00 90.00 120.00
Positions (direct):
Y 0.333 0.667 0.162
Y 0.333 0.667 0.415
Y 0.667 0.333 0.585
Y 0.667 0.333 0.838
Ho 0.000 0.000 0.246
Ho 0.000 0.000 0.500
Ho 0.000 0.000 0.754
Ho 0.333 0.667 0.670
Ho 0.333 0.667 0.923
Ho 0.667 0.333 0.077
Ho 0.667 0.333 0.330
Tl 0.000 0.000 0.000

Entry 2:
## SrIr2PtC (PBE-GGA)

Data for a relaxed SrIr2PtC crystal.

SG = P4/mmm
Crystal system = tetragonal
Calculated formation energy = 12.02 kJ/mol of atoms
Total moment = 0.000 μB per formula unit

Lattice parameters (Å, degrees): 4.189 4.189 4.557 90.00 90.00 90.00
Positions (direct):
Sr 0.000 0.000 0.000
Ir 0.000 0.500 0.500
Ir 0.500 0.000 0.500
Pt 0.500 0.500 0.000
C 0.500 0.500 0.500

Entry 3:
## Ba2BeBr (PBE-GGA)

Data for a relaxed Ba2BeBr crystal.

Energy above the most stable polymorph in this dataset = 187.4 meV per atom
SG = Fm-3m
Crystal system = cubic
Total moment = 2.467 μB per formula unit

Lattice parameters (Å, degrees): 5.825 5.825 5.825 60.00 60.00 60.00
Positions (direct):
Ba 0.250 0.250 0.250
Ba 0.750 0.750 0.750
Be 0.000 0.000 0.000
Br 0.500 0.500 0.500

Entry 4:
## BeCu3S4 (PBE-GGA)

Data for a relaxed BeCu3S4 crystal.

SG = I-42m
Crystal system = tetragonal
Uncorrected energy = -4.44 eV/atom
Total moment = 0.000 μB per formula unit

Lattice parameters (Å, degrees): 6.286 6.286 6.286 131.97 131.97 70.28
Positions (direct):
Be 0.000 0.000 0.000
Cu 0.250 0.750 0.500
Cu 0.500 0.500 0.000
Cu 0.750 0.250 0.500
S 0.118 0.118 0.473
S 0.354 0.882 0.000
S 0.646 0.646 0.527
S 0.882 0.354 0.000

Entry 5:
## NaCu4P2ClO9 (PBE-GGA)

Data for a relaxed NaCu4P2ClO9 crystal.

SG = P2_1/c
Crystal system = monoclinic
Uncorrected energy = -5.79 eV/atom
Total moment = 1.926 μB per formula unit

Lattice parameters (Å, degrees): 8.471 6.467 16.784 90.00 109.33 90.00
Positions (direct):
Na 0.156 0.001 0.173
Na 0.156 0.499 0.673
Na 0.844 0.501 0.327
Na 0.844 0.999 0.827
Cu 0.170 0.748 0.943
Cu 0.170 0.752 0.443
Cu 0.195 0.504 0.153
Cu 0.195 0.996 0.653
Cu 0.393 0.744 0.335
Cu 0.393 0.756 0.835
Cu 0.500 0.000 0.000
Cu 0.500 0.000 0.500
Cu 0.500 0.500 0.000
Cu 0.500 0.500 0.500
Cu 0.607 0.244 0.165
Cu 0.607 0.256 0.665
Cu 0.805 0.004 0.347
Cu 0.805 0.496 0.847
Cu 0.830 0.248 0.557
Cu 0.830 0.252 0.057
P 0.120 0.234 0.483
P 0.120 0.266 0.983
P 0.462 0.243 0.810
P 0.462 0.257 0.310
P 0.538 0.743 0.690
P 0.538 0.757 0.190
P 0.880 0.734 0.017
P 0.880 0.766 0.517
Cl 0.087 0.727 0.291
Cl 0.087 0.773 0.791
Cl 0.913 0.227 0.209
Cl 0.913 0.273 0.709
O 0.044 0.719 0.093
O 0.044 0.781 0.593
O 0.069 0.221 0.567
O 0.069 0.279 0.067
O 0.209 0.060 0.982
O 0.209 0.440 0.482
O 0.240 0.049 0.488
O 0.240 0.451 0.988
O 0.319 0.215 0.725
O 0.319 0.285 0.225
O 0.370 0.731 0.213
O 0.370 0.769 0.713
O 0.404 0.748 0.452
O 0.404 0.752 0.952
O 0.437 0.060 0.356
O 0.437 0.440 0.856
O 0.482 0.052 0.869
O 0.482 0.448 0.369
O 0.518 0.552 0.631
O 0.518 0.948 0.131
O 0.563 0.560 0.144
O 0.563 0.940 0.644
O 0.596 0.248 0.048
O 0.596 0.252 0.548
O 0.630 0.231 0.287
O 0.630 0.269 0.787
O 0.681 0.715 0.775
O 0.681 0.785 0.275
O 0.760 0.549 0.012
O 0.760 0.951 0.512
O 0.791 0.560 0.518
O 0.791 0.940 0.018
O 0.931 0.721 0.933
O 0.931 0.779 0.433
O 0.956 0.219 0.407
O 0.956 0.281 0.907

Entry 6:
## Ho6Ni5Ru (PBE-GGA)

Data for a relaxed Ho6Ni5Ru crystal.

SG = Cmmm
Crystal system = orthorhombic
Calculated formation energy = -40.04 kJ/mol of atoms
Total moment = 0.000 μB per formula unit

Lattice parameters (Å, degrees): 7.551 7.551 6.688 90.00 90.00 143.13
Positions (direct):
Ho 0.000 0.000 0.250
Ho 0.000 0.000 0.750
Ho 0.334 0.666 0.249
Ho 0.334 0.666 0.751
Ho 0.666 0.334 0.249
Ho 0.666 0.334 0.751
Ni 0.164 0.836 0.000
Ni 0.167 0.833 0.500
Ni 0.500 0.500 0.500
Ni 0.833 0.167 0.500
Ni 0.836 0.164 0.000
Ru 0.500 0.500 0.000

Entry 7:
## Ac4TbPm3S8 (PBE-GGA)

Data for a relaxed Ac4TbPm3S8 crystal.

SG = R-3m
Crystal system = trigonal
Uncorrected energy = -6.28 eV/atom
Total moment = 0.000 μB per formula unit

Lattice parameters (Å, degrees): 8.360 8.360 8.360 59.25 59.25 59.25
Positions (direct):
Ac 0.000 0.000 0.000
Ac 0.000 0.500 0.500
Ac 0.500 0.000 0.500
Ac 0.500 0.500 0.000
Tb 0.500 0.500 0.500
Pm 0.000 0.000 0.500
Pm 0.000 0.500 0.000
Pm 0.500 0.000 0.000
S 0.244 0.244 0.244
S 0.248 0.740 0.740
S 0.260 0.260 0.752
S 0.260 0.752 0.260
S 0.740 0.248 0.740
S 0.740 0.740 0.248
S 0.752 0.260 0.260
S 0.756 0.756 0.756

Entry 8:
## CrHBr (PBE-GGA)

Data for a relaxed CrHBr crystal.

SG = Pbcm
Crystal system = orthorhombic
Uncorrected energy = -4.85 eV/atom
Total moment = 0.000 μB per formula unit

Lattice parameters (Å, degrees): 9.063 5.421 3.866 90.00 90.00 90.00
Positions (direct):
Cr 0.059 0.065 0.250
Cr 0.059 0.435 0.750
Cr 0.941 0.565 0.250
Cr 0.941 0.935 0.750
H 0.103 0.094 0.750
H 0.103 0.406 0.250
H 0.897 0.594 0.750
H 0.897 0.906 0.250
Br 0.308 0.504 0.750
Br 0.308 0.996 0.250
Br 0.692 0.004 0.750
Br 0.692 0.496 0.250

Entry 9:
## Dy4Tm10Th (PBE-GGA)

Data for a relaxed Dy4Tm10Th crystal.

SG = I4/m
Crystal system = tetragonal
Calculated formation energy = 39.07 kJ/mol of atoms
Total moment = 0.644 μB per formula unit

Lattice parameters (Å, degrees): 8.551 8.551 8.551 111.20 111.20 106.06
Positions (direct):
Dy 0.072 0.335 0.407
Dy 0.335 0.928 0.264
Dy 0.665 0.072 0.736
Dy 0.928 0.665 0.593
Tm 0.126 0.450 0.900
Tm 0.226 0.126 0.676
Tm 0.250 0.750 0.500
Tm 0.450 0.549 0.324
Tm 0.451 0.774 0.900
Tm 0.549 0.226 0.100
Tm 0.550 0.451 0.676
Tm 0.750 0.250 0.500
Tm 0.774 0.874 0.324
Tm 0.874 0.550 0.100
Th 0.000 0.000 0.000

Entry 10:
## CeNd5Ho6 (PBE-GGA)

Data for a relaxed CeNd5Ho6 crystal.

SG = Immm
Crystal system = orthorhombic
Calculated formation energy = 3.40 kJ/mol of atoms
Total moment = 0.965 μB per formula unit

Lattice parameters (Å, degrees): 9.500 9.500 9.500 148.80 116.18 72.75
Positions (direct):
Ce 0.000 0.000 0.000
Nd 0.165 0.665 0.500
Nd 0.334 0.334 0.000
Nd 0.500 0.000 0.500
Nd 0.666 0.666 0.000
Nd 0.835 0.335 0.500
Ho 0.083 0.835 0.248
Ho 0.246 0.500 0.746
Ho 0.413 0.165 0.248
Ho 0.587 0.835 0.752
Ho 0.754 0.500 0.254
Ho 0.917 0.165 0.752

Entry 11:
## Li2ScHg (PBE-GGA)

Data for a relaxed Li2ScHg crystal.

SG = P2/m
Crystal system = monoclinic
Calculated formation energy = -12.89 kJ/mol of atoms
Total moment = 0.000 μB per formula unit

Lattice parameters (Å, degrees): 3.148 5.066 5.148 90.00 93.26 90.00
Positions (direct):
Li 0.180 0.000 0.263
Li 0.820 0.000 0.737
Sc 0.500 0.500 0.000
Hg 0.000 0.500 0.500

Entry 12:
## Li2SnF6 (PBE-GGA)

Data for a relaxed Li2SnF6 crystal.

Energy above the most stable polymorph in this dataset = 28.1 meV per atom
SG = R3
Crystal system = trigonal
Total moment = 0.112 μB per formula unit

Lattice parameters (Å, degrees): 5.606 5.606 5.606 56.25 56.25 56.25
Positions (direct):
Li 0.000 0.000 0.000
Li 0.198 0.198 0.198
Sn 0.688 0.688 0.688
F 0.046 0.829 0.418
F 0.298 0.596 0.929
F 0.418 0.046 0.829
F 0.596 0.929 0.298
F 0.829 0.418 0.046
F 0.929 0.298 0.596

Entry 13:
## NpOsC (PBE-GGA)

Data for a relaxed NpOsC crystal.

Energy above the most stable polymorph in this dataset = 23.7 meV per atom
SG = P-6m2
Crystal system = hexagonal
Calculated formation energy = 42.09 kJ/mol of atoms
Total moment = 4.268 μB per formula unit

Lattice parameters (Å, degrees): 3.394 3.394 4.916 90.00 90.00 120.00
Positions (direct):
Np 0.000 0.000 0.000
Os 0.667 0.333 0.500
C 0.333 0.667 0.500

Entry 14:
## K3Tb3CeTe8 (PBE-GGA)

Data for a relaxed K3Tb3CeTe8 crystal.

SG = R-3m
Crystal system = trigonal
Uncorrected energy = -4.57 eV/atom
Total moment = 0.097 μB per formula unit

Lattice parameters (Å, degrees): 9.837 9.837 9.837 54.16 54.16 54.16
Positions (direct):
K 0.000 0.500 0.500
K 0.500 0.000 0.500
K 0.500 0.500 0.000
Tb 0.000 0.000 0.500
Tb 0.000 0.500 0.000
Tb 0.500 0.000 0.000
Ce 0.500 0.500 0.500
Te 0.234 0.736 0.736
Te 0.236 0.236 0.236
Te 0.264 0.264 0.766
Te 0.264 0.766 0.264
Te 0.736 0.234 0.736
Te 0.736 0.736 0.234
Te 0.764 0.764 0.764
Te 0.766 0.264 0.264